# TePt2Au

A relaxed TePt2Au crystal (PBE, Alexandria).

```
TePt2Au
1.0
-0.294 -1.488 -2.684
-1.550 -3.988 2.380
-4.621 1.576 -0.367
Au Pt Te
1 2 1
Cartesian
-2.457 0.044 -1.526
0.000 0.000 0.000
-3.085 -1.206 1.006
-0.922 -2.738 -0.152
```

Computed properties:
crystal system: tetragonal
size of the total moment: 0.00 μB/f.u.
SG: No. 123
raw formation energy: 0.111 eV per atom

# Te3Pt2Au

A relaxed Te3Pt2Au crystal (PBE, Alexandria).

```
Te3Pt2Au
1.0
-4.737 -0.394 -2.208
3.091 -4.501 -5.831
-2.808 -3.441 6.640
Te Pt Au
6 4 2
Cartesian
-2.927 -2.467 -2.516
-2.793 -6.245 -2.131
-1.457 -4.608 -5.290
-2.998 -3.728 3.892
-1.527 -5.869 1.118
-1.662 -2.091 0.733
0.000 0.000 0.000
0.141 -3.971 0.404
1.545 -2.251 -2.915
-1.404 -1.721 3.320
-0.429 -4.277 -2.398
-4.026 -4.059 0.999
```

Computed properties:
crystal system: trigonal
size of the total moment: 0.00 μB/f.u.
SG: No. 164
raw formation energy: -0.270 eV per atom

# TePt2Au

A relaxed TePt2Au crystal (PBE, Alexandria).

```
TePt2Au
1.0
5.993 0.206 0.054
3.320 4.994 -0.054
-4.376 -3.102 2.681
Au Pt Te
1 2 1
Cartesian
2.023 2.370 1.314
8.821 4.925 0.000
3.012 -0.218 1.368
5.049 2.819 0.000
```

Computed properties:
crystal system: orthorhombic
size of the total moment: 0.00 μB/f.u.
SG: No. 44
raw formation energy: 0.058 eV per atom

# Te4PtAu

A relaxed Te4PtAu crystal (PBE, Alexandria).

```
Te4PtAu
1.0
-1.688 0.763 5.853
-5.883 -0.691 1.613
-1.714 -4.846 3.357
Te Pt Au
4 1 1
Cartesian
-4.325 -1.406 6.989
-4.338 -4.218 5.738
-6.428 -2.135 4.864
-3.479 -1.788 4.055
0.000 0.000 0.000
-6.964 -3.580 8.117
```

Computed properties:
crystal system: cubic
size of the total moment: 0.00 μB/f.u.
distance to the lowest polymorph of the same formula: 6.83 eV per formula unit
SG: No. 216
raw formation energy: 0.902 eV per atom

# TePtAu2

A relaxed TePtAu2 crystal (PBE, Alexandria).

```
TePtAu2
1.0
5.124 -0.024 0.000
1.497 4.901 0.000
-3.311 -2.438 3.058
Au Pt Te
2 1 1
Cartesian
0.000 0.000 0.000
0.748 2.450 1.529
3.311 2.438 0.000
2.562 -0.012 1.529
```

Computed properties:
crystal system: tetragonal
size of the total moment: 0.00 μB/f.u.
SG: No. 119
raw formation energy: 0.164 eV per atom

# Tm6Te3Pt2Au

A relaxed Tm6Te3Pt2Au crystal (PBE, Alexandria).

```
Tm6Te3Pt2Au
1.0
-1.585 3.799 -5.806
3.343 -6.251 -0.638
-7.012 -2.572 1.684
Tm Te Pt Au
6 3 2 1
Cartesian
-5.022 -2.117 -4.436
-0.222 -2.321 -4.301
-0.232 -2.907 -0.324
-3.310 -5.608 -2.641
-5.032 -2.703 -0.459
-1.943 0.584 -2.119
-0.962 -5.907 -0.634
-4.292 0.883 -4.126
-2.627 -2.512 -2.380
1.706 -2.912 -2.355
0.052 0.460 -4.089
0.000 0.000 0.000
```

Computed properties:
crystal system: monoclinic
size of the total moment: 0.00 μB/f.u.
SG: No. 12
raw formation energy: -1.190 eV per atom

Which formula does entry 3 have?
TePt2Au